A.
! KAg2Ir (GGA-PBE, optimized geometry); values from VASP
! Calculated density in g/cm³: 9.22
! SG: No. 216
&SYSTEM
  ibrav = 0, nat = 4, ntyp = 3
/
ATOMIC_SPECIES
Ag 107.87 Ag.upf
Ir 192.22 Ir.upf
K 39.10 K.upf
ATOMIC_POSITIONS crystal
Ag 0.0000 0.0000 0.0000
Ag 0.2500 0.2500 0.2500
Ir 0.5000 0.5000 0.5000
K 0.7500 0.7500 0.7500
CELL_PARAMETERS angstrom
-0.6069 -4.2317 2.2855
3.7436 -3.0368 0.5123
1.9738 -0.6983 4.3721

B.
! KAg2Ir (GGA-PBE, optimized geometry); values from VASP
! Calculated density in g/cm³: 9.65
! SG: No. 35
&SYSTEM
  ibrav = 0, nat = 4, ntyp = 3
/
ATOMIC_SPECIES
Ag 107.87 Ag.upf
Ir 192.22 Ir.upf
K 39.10 K.upf
ATOMIC_POSITIONS crystal
Ag 0.0000 0.0000 0.0249
Ag 0.5000 0.5000 0.2582
Ir 0.0000 0.0000 0.4817
K 0.5000 0.5000 0.7352
CELL_PARAMETERS angstrom
-2.6831 0.8992 0.2032
0.3316 -2.4534 -1.3856
-1.0772 -5.2606 9.0569

Stability summary - winner: B; margin: 324 meV per atom.